(1)
Nd3YTe4: optimized geometry, GGA-PBE.

Results
energy	-88.7	eV for the cell shown
energy relative to the elements, uncorrected	-1.374	eV/atom
spin magnetization	0.00	μB/cell

abc: 4.3611 4.3611 30.6690
angles: 90.00 90.00 120.00
Space group P6_3/mmc (No. 194)
Symmetry-distinct sites (fractional):
Nd 0.0000 0.0000 0.0000 (multiplicity 2)
Nd 0.3333 0.6667 0.1253 (multiplicity 4)
Y 0.3333 0.6667 0.7500 (multiplicity 2)
Te 0.0000 0.0000 0.1893 (multiplicity 4)
Te 0.3333 0.6667 0.5630 (multiplicity 4)

(2)
CrH2Se: optimized geometry, GGA-PBE.

Results
energy	-19.6	eV for the cell shown
spin magnetization	4.00	μB/cell

abc: 4.122 6.813 4.129
angles: 90.00 116.17 90.00
Space group Pm (No. 6)
Symmetry-distinct sites (fractional):
Cr 0.000 0.000 0.000 (multiplicity 1)
H 0.066 0.500 0.061 (multiplicity 1)
H 0.932 0.500 0.865 (multiplicity 1)
Se 0.654 0.000 0.347 (multiplicity 1)

(3)
La3I2N: optimized geometry, GGA-PBE.

Results
energy	-130.7	eV for the cell shown
energy relative to the elements, uncorrected	-1.079	eV/atom
spin magnetization	0.00	μB/cell

abc: 7.158 12.435 8.153
angles: 90.00 107.37 90.00
Space group C2/m (No. 12)
Symmetry-distinct sites (fractional):
La 0.182 0.000 0.179 (multiplicity 4)
La 0.249 0.189 0.819 (multiplicity 8)
I 0.000 0.000 0.500 (multiplicity 2)
I 0.000 0.344 0.500 (multiplicity 4)
I 0.000 0.500 0.000 (multiplicity 2)
N 0.000 0.168 0.000 (multiplicity 4)

(4)
Rb2NbHgBr6: optimized geometry, GGA-PBE.

Results
energy	-132.2	eV for the cell shown
energy relative to the elements, uncorrected	-1.071	eV/atom
spin magnetization	4.00	μB/cell

abc: 11.851 11.851 11.851
angles: 90.00 90.00 90.00
Space group Fm-3m (No. 225)
Symmetry-distinct sites (fractional):
Rb 0.250 0.250 0.250 (multiplicity 8)
Nb 0.000 0.000 0.000 (multiplicity 4)
Hg 0.000 0.000 0.500 (multiplicity 4)
Br 0.000 0.000 0.219 (multiplicity 24)

(5)
NaTi3F: optimized geometry, GGA-PBE.

Results
energy	-27.1	eV for the cell shown
energy relative to the elements, uncorrected	-0.044	eV/atom
spin magnetization	0.00	μB/cell

abc: 4.477 4.477 4.477
angles: 90.00 90.00 90.00
Space group Pm-3m (No. 221)
Symmetry-distinct sites (fractional):
Na 0.000 0.000 0.000 (multiplicity 1)
Ti 0.000 0.500 0.500 (multiplicity 3)
F 0.500 0.500 0.500 (multiplicity 1)

(6)
LiMgCd2Hg: optimized geometry, GGA-PBE.

Results
energy	-25.0	eV for the cell shown
E_form	-0.120	eV per atom
spin magnetization	0.00	μB/cell

abc: 4.046 14.537 7.559
angles: 90.00 90.00 90.00
Space group Cmcm (No. 63)
Symmetry-distinct sites (fractional):
Li 0.000 0.011 0.250 (multiplicity 4)
Mg 0.000 0.339 0.750 (multiplicity 4)
Cd 0.000 0.165 0.552 (multiplicity 8)
Hg 0.000 0.500 0.000 (multiplicity 4)